This record from Alexandria describes crystalline LiPr2As3Rh4 at its relaxed geometry. The functional is GGA-PBE.

Unit cell a=4.189 b=4.189 c=10.325 alpha=90.00 beta=90.00 gamma=90.00
Fractional positions:
Rh  0.500  0.000  0.628
As  0.500  0.000  0.862
Li  0.500  0.500  0.500
Rh  0.000  0.500  0.372
Pr  0.500  0.000  0.254
Pr  0.000  0.500  0.746
As  0.000  0.000  0.500
Rh  0.000  0.000  0.000
As  0.000  0.500  0.138
Rh  0.500  0.500  0.000

Properties
Density of states at the Fermi level (states/eV/cell): 3.3

=====

This record from Alexandria describes crystalline SrLi2PrAs2 at its relaxed geometry. The functional is GGA-PBE.

Unit cell a=4.396 b=4.396 c=8.175 alpha=90.00 beta=90.00 gamma=120.00
Fractional positions:
Li  0.333  0.667  0.741
Li  0.667  0.333  0.259
As  0.667  0.333  0.739
As  0.333  0.667  0.261
Pr  0.000  0.000  0.500
Sr  0.000  0.000  0.000

Properties
Density of states at the Fermi level (states/eV/cell): 2.5

=====

This record from Alexandria describes crystalline LiPrTh2As4 at its relaxed geometry. The functional is GGA-PBE.

Unit cell a=4.299 b=7.385 c=7.310 alpha=109.54 beta=90.00 gamma=90.00
Fractional positions:
As  0.500  0.745  0.746
As  0.000  0.248  0.740
Th  0.500  0.000  0.500
Pr  0.000  0.000  0.000
Th  0.000  0.500  0.500
Li  0.500  0.500  0.000
As  0.500  0.255  0.254
As  0.000  0.752  0.260

Properties
Density of states at the Fermi level (states/eV/cell): 2.6

=====

no.,size of the total moment (μB per cell),formation energy (eV per atom)
1,0.0,-0.909
2,0.0,-0.998
3,0.0,-1.173